[1]
The following is a DFT calculation (PBE) of a geometry-optimized Ti2NbIr structure.

CIF file:
```
data_Ti2NbIr
_cell_length_a 3.132
_cell_length_b 3.132
_cell_length_c 6.574
_cell_angle_alpha 90.00
_cell_angle_beta 90.00
_cell_angle_gamma 90.00
_space_group_name_H-M_alt 'P 4/m m m'
_space_group_IT_number 123
_space_group_name_Hall '-P 4 2'
loop_
_atom_site_label
_atom_site_fract_x
_atom_site_fract_y
_atom_site_fract_z
_atom_site_occupancy
Ti1 0.000 0.000 0.239 1
Nb1 0.500 0.500 0.500 1
Ir1 0.500 0.500 0.000 1
```

Values from the calculation:
The calculation puts the total energy at -36.70 eV per cell. For the magnetization, the calculation gives 0.00 μB/atom. The calculation puts the formation energy at -0.4936 eV per atom.

---

[2]
The following is a DFT calculation (PBE) of a geometry-optimized LaU3 structure.

CIF file:
```
data_LaU3
_cell_length_a 6.3310
_cell_length_b 6.3310
_cell_length_c 5.4852
_cell_angle_alpha 90.00
_cell_angle_beta 90.00
_cell_angle_gamma 120.00
_space_group_name_H-M_alt 'P 63/m m c'
_space_group_IT_number 194
_space_group_name_Hall '-P 6c 2c'
loop_
_atom_site_label
_atom_site_fract_x
_atom_site_fract_y
_atom_site_fract_z
_atom_site_occupancy
La1 0.3333 0.6667 0.2500 1
U1 0.1502 0.3004 0.7500 1
```

Values from the calculation:
The calculation puts the total energy at -73.16 eV per cell. For the magnetization, the calculation gives 0.75 μB/atom. The calculation puts the formation energy at 0.5533 eV per atom.

---

[3]
The following is a DFT calculation (PBE) of a geometry-optimized TmCu5 structure.

CIF file:
```
data_TmCu5
_cell_length_a 7.001
_cell_length_b 7.001
_cell_length_c 7.001
_cell_angle_alpha 90.00
_cell_angle_beta 90.00
_cell_angle_gamma 90.00
_space_group_name_H-M_alt 'F -4 3 m'
_space_group_IT_number 216
_space_group_name_Hall 'F -4 2 3'
loop_
_atom_site_label
_atom_site_fract_x
_atom_site_fract_y
_atom_site_fract_z
_atom_site_occupancy
Tm1 0.000 0.000 0.000 1
Cu1 0.124 0.124 0.376 1
Cu2 0.250 0.250 0.750 1
```

Values from the calculation:
The calculation puts the total energy at -104.35 eV per cell. For the magnetization, the calculation gives 0.00 μB/atom. The calculation puts the formation energy at -0.1890 eV per atom.

---

[4]
The following is a DFT calculation (PBE) of a geometry-optimized RbLi2Ca structure.

CIF file:
```
data_RbLi2Ca
_cell_length_a 6.267
_cell_length_b 6.267
_cell_length_c 4.002
_cell_angle_alpha 90.00
_cell_angle_beta 90.00
_cell_angle_gamma 90.00
_space_group_name_H-M_alt 'P 4/m m m'
_space_group_IT_number 123
_space_group_name_Hall '-P 4 2'
loop_
_atom_site_label
_atom_site_fract_x
_atom_site_fract_y
_atom_site_fract_z
_atom_site_occupancy
Rb1 0.000 0.000 0.000 1
Li1 0.000 0.500 0.500 1
Ca1 0.500 0.500 0.000 1
```

Values from the calculation:
The calculation puts the total energy at -6.05 eV per cell. As for the energy above the most stable polymorph in this dataset: 55 meV/atom. For the magnetization, the calculation gives 0.01 μB/atom. The calculation puts the formation energy at 0.1859 eV per atom.